# PBE with a Hubbard U V2CrBiO8, relaxed
data_V2CrBiO8
_chemical_formula_sum 'V2 Cr1 Bi1 O8'
_symmetry_space_group_name_H-M 'P 1'
_symmetry_Int_Tables_number 1
_cell_length_a 5.912
_cell_length_b 5.912
_cell_length_c 5.912
_cell_angle_alpha 107.02
_cell_angle_beta 107.02
_cell_angle_gamma 114.49
loop_
_symmetry_equiv_pos_as_xyz
'x,y,z'
loop_
_atom_site_label
_atom_site_type_symbol
_atom_site_fract_x
_atom_site_fract_y
_atom_site_fract_z
V1 V 0.750 0.250 0.500
V2 V 0.500 0.500 0.000
Cr1 Cr 0.250 0.750 0.500
Bi1 Bi 0.000 0.000 0.000
O1 O 0.386 0.069 0.318
O2 O 0.331 0.530 0.199
O3 O 0.331 0.133 0.801
O4 O 0.751 0.069 0.682
O5 O 0.867 0.669 0.199
O6 O 0.931 0.249 0.318
O7 O 0.931 0.614 0.682
O8 O 0.470 0.669 0.801
# Crystal system: tetragonal
# Total DFT energy (no corrections) in eV per atom: -7.071
# Calculated volume in Å³ per cell: 158.13